LiNi2Pb2, optimized geometry, DFT PBE-GGA; total magnetic moment = 0.00 μB/cell; mass density = 9532 kg/m3; space group = P4/mbm; energy of formation from the pure elements = 0.12 eV/atom; calculated volume = 18.8 A^3/atom
1.0
7.5716 0.0000 0.0000
0.0000 7.5716 0.0000
0.0000 0.0000 3.2739
Li Ni Pb
2 4 4
Direct
0.0000 0.0000 0.0000
0.5000 0.5000 0.0000
0.1311 0.3689 0.5000
0.3689 0.8689 0.5000
0.6311 0.1311 0.5000
0.8689 0.6311 0.5000
0.1624 0.6624 0.0000
0.3376 0.1624 0.0000
0.6624 0.8376 0.0000
0.8376 0.3376 0.0000